This record from Alexandria describes a geometry-optimized Li2ScMn structure. The functional is GGA-PBE.

Computed properties:
As for the calculated formation energy: 0.273 eV/atom. As for the space group: No. 123. The value obtained for the total magnetic moment is 2.75 μB/f.u. The value obtained for the calculated volume is 71.6 Å³ per cell. The calculation puts the offset from the most stable computed form at 115 meV per atom.

Unit cell a=3.808 b=3.808 c=4.942 alpha=90.00 beta=90.00 gamma=90.00
Positions (direct):
Li: 0.000 0.500 0.000
Li: 0.500 0.000 0.000
Sc: 0.000 0.000 0.500
Mn: 0.500 0.500 0.500